[1]
Below is Y4Nb2P3N3 after structural relaxation, with properties calculated at the PBE level.

Values from the calculation:
- Total magnetic moment: 0.02 μB per cell
- Theoretical density: 5.7 g/cm3
- VASP energy: -8.489 eV per atom

a b c (Å): 6.0527 6.0527 12.8370
angles (deg): 103.49 103.49 60.51
Atoms (fractional coordinates):
Y 0.0401 0.2005 0.1086
Y 0.1278 0.2958 0.3916
Y 0.2005 0.0401 0.6086
Y 0.2958 0.1278 0.8916
Y 0.7042 0.8722 0.1084
Y 0.7995 0.9599 0.3914
Y 0.8722 0.7042 0.6084
Y 0.9599 0.7995 0.8914
Nb 0.3697 0.5306 0.0898
Nb 0.4694 0.6303 0.4102
Nb 0.5306 0.3697 0.5898
Nb 0.6303 0.4694 0.9102
P 0.1290 0.8710 0.2500
P 0.2910 0.4190 0.7513
P 0.4190 0.2910 0.2513
P 0.5810 0.7090 0.7487
P 0.7090 0.5810 0.2487
P 0.8710 0.1290 0.7500
N 0.0000 0.5000 0.0000
N 0.1779 0.6614 0.5004
N 0.3386 0.8221 0.9996
N 0.5000 0.0000 0.5000
N 0.6614 0.1779 0.0004
N 0.8221 0.3386 0.4996

=====

[2]
Below is Nb4ZnPN2 after structural relaxation, with properties calculated at the PBE level.

Values from the calculation:
- Total magnetic moment: 0.02 μB per cell
- Theoretical density: 7.3 g/cm3
- VASP energy: -8.652 eV per atom

a b c (Å): 3.2193 3.2193 12.5210
angles (deg): 90.00 90.00 120.00
Atoms (fractional coordinates):
Nb 0.0000 0.0000 0.1406
Nb 0.0000 0.0000 0.8594
Nb 0.6667 0.3333 0.3264
Nb 0.6667 0.3333 0.6736
Zn 0.0000 0.0000 0.5000
P 0.6667 0.3333 0.0000
N 0.3333 0.6667 0.2407
N 0.3333 0.6667 0.7593

=====

[3]
Below is Zr4Nb2P3N3 after structural relaxation, with properties calculated at the PBE level.

Values from the calculation:
- Total magnetic moment: 0.01 μB per cell
- Theoretical density: 6.5 g/cm3
- VASP energy: -9.237 eV per atom

a b c (Å): 5.8231 5.8231 12.3764
angles (deg): 103.61 103.61 59.98
Atoms (fractional coordinates):
Zr 0.0295 0.2048 0.1029
Zr 0.1359 0.2993 0.3969
Zr 0.2048 0.0295 0.6029
Zr 0.2993 0.1359 0.8969
Zr 0.7007 0.8641 0.1031
Zr 0.7952 0.9705 0.3971
Zr 0.8641 0.7007 0.6031
Zr 0.9705 0.7952 0.8971
Nb 0.3725 0.5320 0.0938
Nb 0.4680 0.6275 0.4062
Nb 0.5320 0.3725 0.5938
Nb 0.6275 0.4680 0.9062
P 0.1024 0.8976 0.2500
P 0.2705 0.4162 0.7492
P 0.4162 0.2705 0.2492
P 0.5838 0.7295 0.7508
P 0.7295 0.5838 0.2508
P 0.8976 0.1024 0.7500
N 0.0000 0.5000 0.0000
N 0.1544 0.6724 0.4997
N 0.3276 0.8456 0.0003
N 0.5000 0.0000 0.5000
N 0.6724 0.1544 0.9997
N 0.8456 0.3276 0.5003

=====

[4]
Below is Pa3Nb2N6 after structural relaxation, with properties calculated at the PBE level.

Values from the calculation:
- Total magnetic moment: 1.73 μB per cell
- Theoretical density: 10.5 g/cm3
- VASP energy: -10.131 eV per atom

a b c (Å): 9.6557 9.6557 9.6557
angles (deg): 155.68 155.68 34.66
Atoms (fractional coordinates):
Pa 0.0000 0.0000 0.0000
Pa 0.1769 0.1769 0.0000
Pa 0.8231 0.8231 0.0000
Nb 0.4062 0.4062 0.0000
Nb 0.5938 0.5938 0.0000
N 0.0859 0.5859 0.5000
N 0.2921 0.2921 0.0000
N 0.4141 0.9141 0.5000
N 0.5859 0.0859 0.5000
N 0.7079 0.7079 0.0000
N 0.9141 0.4141 0.5000

=====

[5]
Below is Pa3NbN6 after structural relaxation, with properties calculated at the PBE level.

Values from the calculation:
- Total magnetic moment: 0.00 μB per cell
- Theoretical density: 10.3 g/cm3
- VASP energy: -10.372 eV per atom

a b c (Å): 7.1715 7.1715 5.5508
angles (deg): 90.00 90.00 100.10
Atoms (fractional coordinates):
Pa 0.1091 0.8909 0.5000
Pa 0.1888 0.4095 0.5507
Pa 0.4095 0.1888 0.0507
Pa 0.5905 0.8112 0.5507
Pa 0.8112 0.5905 0.0507
Pa 0.8909 0.1091 0.0000
Nb 0.3450 0.6550 0.0694
Nb 0.6550 0.3450 0.5694
N 0.0953 0.6011 0.2506
N 0.1413 0.1647 0.2761
N 0.1647 0.1413 0.7761
N 0.2803 0.7197 0.7174
N 0.3989 0.9047 0.2506
N 0.4824 0.5176 0.3405
N 0.5176 0.4824 0.8405
N 0.6011 0.0953 0.7506
N 0.7197 0.2803 0.2174
N 0.8353 0.8587 0.2761
N 0.8587 0.8353 0.7761
N 0.9047 0.3989 0.7506

=====

[6]
Below is Nb3PbN6 after structural relaxation, with properties calculated at the PBE level.

Values from the calculation:
- Total magnetic moment: 1.35 μB per cell
- Theoretical density: 6.3 g/cm3
- VASP energy: -8.443 eV per atom

a b c (Å): 5.3124 5.3124 12.2671
angles (deg): 90.00 90.00 120.00
Atoms (fractional coordinates):
Nb 0.0000 0.0000 0.2500
Nb 0.0000 0.0000 0.7500
Nb 0.3333 0.6667 0.2500
Nb 0.3333 0.6667 0.7500
Nb 0.6667 0.3333 0.2500
Nb 0.6667 0.3333 0.7500
Pb 0.0000 0.0000 0.0000
Pb 0.0000 0.0000 0.5000
N 0.0000 0.3291 0.1536
N 0.0000 0.3291 0.3464
N 0.0000 0.6709 0.6536
N 0.0000 0.6709 0.8464
N 0.3291 0.0000 0.1536
N 0.3291 0.0000 0.3464
N 0.3291 0.3291 0.6536
N 0.3291 0.3291 0.8464
N 0.6709 0.0000 0.6536
N 0.6709 0.0000 0.8464
N 0.6709 0.6709 0.1536
N 0.6709 0.6709 0.3464

=====

[7]
Below is NbPb2N after structural relaxation, with properties calculated at the PBE level.

Values from the calculation:
- Total magnetic moment: 0.01 μB per cell
- Theoretical density: 11.5 g/cm3
- VASP energy: -5.645 eV per atom

a b c (Å): 3.3261 3.3261 15.7415
angles (deg): 90.00 90.00 120.00
Atoms (fractional coordinates):
Nb 0.3333 0.6667 0.2500
Nb 0.6667 0.3333 0.7500
Pb 0.3333 0.6667 0.5999
Pb 0.3333 0.6667 0.9001
Pb 0.6667 0.3333 0.0999
Pb 0.6667 0.3333 0.4001
N 0.0000 0.0000 0.0000
N 0.0000 0.0000 0.5000

=====

[8]
Below is Nb4SbPbN2 after structural relaxation, with properties calculated at the PBE level.

Values from the calculation:
- Total magnetic moment: 0.00 μB per cell
- Theoretical density: 9.3 g/cm3
- VASP energy: -8.542 eV per atom

a b c (Å): 3.3263 3.3263 13.5209
angles (deg): 90.00 90.00 120.00
Atoms (fractional coordinates):
Nb 0.0000 0.0000 0.1628
Nb 0.0000 0.0000 0.8372
Nb 0.6667 0.3333 0.3230
Nb 0.6667 0.3333 0.6770
Sb 0.6667 0.3333 0.0000
Pb 0.0000 0.0000 0.5000
N 0.3333 0.6667 0.2442
N 0.3333 0.6667 0.7558

=====

[9]
Below is Ta4Nb2Pb3N3 after structural relaxation, with properties calculated at the PBE level.

Values from the calculation:
- Total magnetic moment: 0.00 μB per cell
- Theoretical density: 13.2 g/cm3
- VASP energy: -8.892 eV per atom

a b c (Å): 5.7506 5.7506 14.1826
angles (deg): 101.65 101.65 59.91
Atoms (fractional coordinates):
Ta 0.0140 0.2025 0.0761
Ta 0.1523 0.3075 0.4237
Ta 0.2025 0.0140 0.5761
Ta 0.3075 0.1523 0.9237
Ta 0.6925 0.8477 0.0763
Ta 0.7975 0.9860 0.4239
Ta 0.8477 0.6925 0.5763
Ta 0.9860 0.7975 0.9239
Nb 0.3693 0.5280 0.0795
Nb 0.4720 0.6307 0.4205
Nb 0.5280 0.3693 0.5795
Nb 0.6307 0.4720 0.9205
Pb 0.0800 0.9200 0.2500
Pb 0.2483 0.4149 0.7483
Pb 0.4149 0.2483 0.2483
Pb 0.5851 0.7517 0.7517
Pb 0.7517 0.5851 0.2517
Pb 0.9200 0.0800 0.7500
N 0.0000 0.5000 0.0000
N 0.1507 0.6742 0.5002
N 0.3258 0.8493 0.9998
N 0.5000 0.0000 0.5000
N 0.6742 0.1507 0.0002
N 0.8493 0.3258 0.4998

=====

[10]
Below is Nb4TlPbN2 after structural relaxation, with properties calculated at the PBE level.

Values from the calculation:
- Total magnetic moment: 0.01 μB per cell
- Theoretical density: 10.3 g/cm3
- VASP energy: -8.272 eV per atom

a b c (Å): 3.2939 3.2939 13.9677
angles (deg): 90.00 90.00 120.00
Atoms (fractional coordinates):
Nb 0.0000 0.0000 0.1720
Nb 0.0000 0.0000 0.8280
Nb 0.6667 0.3333 0.3274
Nb 0.6667 0.3333 0.6726
Tl 0.6667 0.3333 0.0000
Pb 0.0000 0.0000 0.5000
N 0.3333 0.6667 0.2502
N 0.3333 0.6667 0.7498

=====

[11]
Below is Nb2Pb3W4N3 after structural relaxation, with properties calculated at the PBE level.

Values from the calculation:
- Total magnetic moment: 0.01 μB per cell
- Theoretical density: 13.3 g/cm3
- VASP energy: -8.761 eV per atom

a b c (Å): 5.8712 5.8712 13.6953
angles (deg): 102.35 102.35 59.91
Atoms (fractional coordinates):
Nb 0.0276 0.8566 0.5746
Nb 0.1434 0.9724 0.9254
Nb 0.8566 0.0276 0.0746
Nb 0.9724 0.1434 0.4254
Pb 0.0843 0.2541 0.7496
Pb 0.2541 0.0843 0.2496
Pb 0.4248 0.5752 0.7500
Pb 0.5752 0.4248 0.2500
Pb 0.7459 0.9157 0.7504
Pb 0.9157 0.7459 0.2504
W 0.1875 0.3510 0.0678
W 0.3102 0.4780 0.4320
W 0.3510 0.1875 0.5678
W 0.4780 0.3102 0.9320
W 0.5220 0.6898 0.0680
W 0.6490 0.8125 0.4322
W 0.6898 0.5220 0.5680
W 0.8125 0.6490 0.9322
N 0.0000 0.5000 0.5000
N 0.1724 0.6553 0.0012
N 0.3447 0.8276 0.4988
N 0.5000 0.0000 0.0000
N 0.6553 0.1724 0.5012
N 0.8276 0.3447 0.9988

=====

[12]
Below is Y2Nb4Pb3N3 after structural relaxation, with properties calculated at the PBE level.

Values from the calculation:
- Total magnetic moment: 0.00 μB per cell
- Theoretical density: 9.3 g/cm3
- VASP energy: -8.087 eV per atom

a b c (Å): 5.9439 5.9439 14.4767
angles (deg): 101.53 101.53 60.47
Atoms (fractional coordinates):
Y 0.0301 0.8655 0.5944
Y 0.1345 0.9699 0.9056
Y 0.8655 0.0301 0.0944
Y 0.9699 0.1345 0.4056
Nb 0.1919 0.3637 0.0698
Nb 0.3174 0.4657 0.4304
Nb 0.3637 0.1919 0.5698
Nb 0.4657 0.3174 0.9304
Nb 0.5343 0.6826 0.0696
Nb 0.6363 0.8081 0.4302
Nb 0.6826 0.5343 0.5696
Nb 0.8081 0.6363 0.9302
Pb 0.0801 0.2956 0.7494
Pb 0.2956 0.0801 0.2494
Pb 0.4580 0.5420 0.7500
Pb 0.5420 0.4580 0.2500
Pb 0.7044 0.9199 0.7506
Pb 0.9199 0.7044 0.2506
N 0.0000 0.5000 0.5000
N 0.1629 0.6761 0.0001
N 0.3239 0.8371 0.4999
N 0.5000 0.0000 0.0000
N 0.6761 0.1629 0.5001
N 0.8371 0.3239 0.9999

=====

Please write out number 10 again, unchanged.
Below is Nb4TlPbN2 after structural relaxation, with properties calculated at the PBE level.

Values from the calculation:
- Total magnetic moment: 0.01 μB per cell
- Theoretical density: 10.3 g/cm3
- VASP energy: -8.272 eV per atom

a b c (Å): 3.2939 3.2939 13.9677
angles (deg): 90.00 90.00 120.00
Atoms (fractional coordinates):
Nb 0.0000 0.0000 0.1720
Nb 0.0000 0.0000 0.8280
Nb 0.6667 0.3333 0.3274
Nb 0.6667 0.3333 0.6726
Tl 0.6667 0.3333 0.0000
Pb 0.0000 0.0000 0.5000
N 0.3333 0.6667 0.2502
N 0.3333 0.6667 0.7498